No. 1
YGeO3 | PBE | optimized geometry

a b c (Å): 7.1444 7.1444 6.9544
angles (deg): 111.20 111.20 81.26
Closest atoms and distances in Å follow each position.
Atoms (fractional coordinates):
Y 0.1200 0.8800 0.7500  2 O 2.18
Y 0.2675 0.7325 0.2500  6 O 2.28-2.40
Y 0.7325 0.2675 0.7500  6 O 2.28-2.40
Y 0.8800 0.1200 0.2500  2 O 2.18
Ge 0.2523 0.3550 0.8155  4 O 1.84-1.96
Ge 0.3550 0.2523 0.3155  4 O 1.84-1.96
Ge 0.6450 0.7477 0.6845  4 O 1.84-1.96
Ge 0.7477 0.6450 0.1845  4 O 1.84-1.96
O 0.0183 0.2009 0.6536  1 Ge 1.89
O 0.1702 0.6201 0.8579  1 Ge 1.84
O 0.2009 0.0183 0.1536  1 Ge 1.89
O 0.2779 0.3897 0.1172  2 Ge 1.85-1.96
O 0.3799 0.8298 0.6421  1 Ge 1.84
O 0.3897 0.2779 0.6172  2 Ge 1.85-1.96
O 0.6103 0.7221 0.3828  2 Ge 1.85-1.96
O 0.6201 0.1702 0.3579  1 Ge 1.84
O 0.7221 0.6103 0.8828  2 Ge 1.85-1.96
O 0.7991 0.9817 0.8464  1 Ge 1.89
O 0.8298 0.3799 0.1421  1 Ge 1.84
O 0.9817 0.7991 0.3464  1 Ge 1.89

Summary:
Energy relative to the elements, uncorrected in eV per atom: -2.306
Space group: C2/c

---

No. 2
YGeIr3 | PBE | optimized geometry

a b c (Å): 4.6009 4.6009 4.6009
angles (deg): 90.00 90.00 90.00
Closest atoms and distances in Å follow each position.
Atoms (fractional coordinates):
Y 0.0000 0.0000 0.0000  12 Ir 3.25
Ge 0.5000 0.5000 0.5000  6 Ir 2.30
Ir 0.0000 0.5000 0.5000  2 Ge 2.30
Ir 0.5000 0.0000 0.5000  2 Ge 2.30
Ir 0.5000 0.5000 0.0000  2 Ge 2.30

Summary:
Space group: Pm-3m
Calculated formation energy in eV/atom: 0.102

---

No. 3
GaC | PBE | optimized geometry

a b c (Å): 5.2989 5.2989 3.4714
angles (deg): 90.00 90.00 90.00
Closest atoms and distances in Å follow each position.
Atoms (fractional coordinates):
Ga 0.2428 0.2428 0.0000  4 C 1.99-2.11
Ga 0.2572 0.7428 0.5000  4 C 1.99-2.11
Ga 0.7428 0.2572 0.5000  4 C 1.99-2.11
Ga 0.7572 0.7572 0.0000  4 C 1.99-2.11
C 0.1130 0.1130 0.5000  1 C 1.69
C 0.3870 0.6130 0.0000  1 C 1.69
C 0.6130 0.3870 0.0000  1 C 1.69
C 0.8870 0.8870 0.5000  1 C 1.69

Summary:
Space group: P4_2/mnm
Calculated formation energy in eV/atom: 0.760